No. 1
Below is a relaxed La2ZnPbO6 crystal, with properties calculated at the PBE level.

formation energy from raw total energies: -2179 kJ/mol of formula units
total magnetic moment: 0.000 μB/atom
Fermi-level density of states: 0.000 states/eV/cell
raw total energy: -6.717 eV/atom

Cell: 5.734 5.984 10.019 Å, 90.00 124.14 90.00°
Space group P2_1/c (No. 14)
One atom of each set of equivalent atoms:
La 0.231 0.059 0.249 [4 per cell]
Zn 0.000 0.000 0.500 [2 per cell]
Pb 0.500 0.000 0.000 [2 per cell]
O 0.131 0.200 0.940 [4 per cell]
O 0.238 0.695 0.938 [4 per cell]
O 0.363 0.046 0.747 [4 per cell]

=====

No. 2
Below is a relaxed KPuPbSe3 crystal, with properties calculated at the PBE level.

formation energy from raw total energies: -628 kJ/mol of formula units
total magnetic moment: 0.834 μB/atom
Fermi-level density of states: 19.702 states/eV/cell
raw total energy: -6.016 eV/atom

Cell: 8.917 4.279 11.170 Å, 90.00 99.98 90.00°
Space group P2_1/m (No. 11)
One atom of each set of equivalent atoms:
K 0.160 0.250 0.169 [2 per cell]
Pu 0.364 0.750 0.858 [2 per cell]
Pb 0.159 0.250 0.582 [2 per cell]
Se 0.131 0.250 0.833 [2 per cell]
Se 0.368 0.750 0.598 [2 per cell]
Se 0.416 0.750 0.119 [2 per cell]

=====

No. 3
Below is a relaxed Y11Hg9Pd4 crystal, with properties calculated at the PBE level.

total magnetic moment: 0.000 μB/atom
Fermi-level density of states: 40.168 states/eV/cell
raw total energy: -4.586 eV/atom
DFT formation energy: -62.2 kJ/mol of atoms

Cell: 14.526 21.880 3.665 Å, 90.00 90.00 90.00°
Space group Cmmm (No. 65)
One atom of each set of equivalent atoms:
Y 0.000 0.000 0.000 [2 per cell]
Y 0.000 0.167 0.000 [4 per cell]
Y 0.000 0.369 0.000 [4 per cell]
Y 0.203 0.500 0.000 [4 per cell]
Y 0.244 0.170 0.000 [8 per cell]
Hg 0.000 0.500 0.500 [2 per cell]
Hg 0.108 0.262 0.500 [8 per cell]
Hg 0.139 0.075 0.500 [8 per cell]
Pd 0.150 0.401 0.500 [8 per cell]